First-principles (PBE-GGA) data for an optimized crystal structure of NdZnSn, as listed in OQMD via LeMat-Bulk.

As for the calculated density: 7.0 g/cm³. The total energy is -3.80 eV/atom.

Cell lengths 6.765, 6.765, 6.765 Å; angles 90.00, 90.00, 90.00 degrees
Space group F-43m (No. 216)
One atom of each set of equivalent atoms:
Nd 0.000 0.000 0.000 x4
Zn 0.250 0.250 0.250 x4
Sn 0.000 0.000 0.500 x4


First-principles (PBE-GGA) data for an optimized crystal structure of NdZr6Sn4, as listed in OQMD via LeMat-Bulk.

As for the calculated density: 7.4 g/cm³. The total energy is -7.08 eV/atom.

Cell lengths 6.1161, 6.1161, 24.2598 Å; angles 90.00, 90.00, 120.00 degrees
Space group R-3m (No. 166, hexagonal axes)
One atom of each set of equivalent atoms:
Nd 0.0000 0.0000 0.0000 x3
Zr 0.0026 0.5013 0.1050 x18
Sn 0.0000 0.0000 0.1250 x6
Sn 0.0000 0.0000 0.3327 x6


Q: calculated density of number 2 (NdZr6Sn4)?
A: 7.4 g/cm³